(1)
# PBE PaTl2BiO8, optimized geometry
data_PaTl2BiO8
_cell_length_a 6.2136
_cell_length_b 6.2136
_cell_length_c 6.2136
_cell_angle_alpha 112.10
_cell_angle_beta 112.10
_cell_angle_gamma 104.33
_symmetry_space_group_name_H-M 'P 1'
_symmetry_Int_Tables_number 1
loop_
_symmetry_equiv_pos_as_xyz
'x,y,z'
loop_
_atom_site_label
_atom_site_type_symbol
_atom_site_fract_x
_atom_site_fract_y
_atom_site_fract_z
_atom_site_occupancy
Pa1 Pa 0.0000 0.0000 0.0000 1
Tl1 Tl 0.5000 0.5000 0.0000 1
Tl2 Tl 0.7500 0.2500 0.5000 1
Bi1 Bi 0.2500 0.7500 0.5000 1
O1 O 0.2756 0.0886 0.8130 1
O2 O 0.2756 0.4626 0.1870 1
O3 O 0.3378 0.0260 0.3117 1
O4 O 0.5374 0.7244 0.8130 1
O5 O 0.7143 0.0260 0.6883 1
O6 O 0.9114 0.7244 0.1870 1
O7 O 0.9740 0.2857 0.3117 1
O8 O 0.9740 0.6622 0.6883 1
# - DFT total energy: -6.21 eV/atom
# - Space group: I-4m2, No. 119
# - Calculated volume: 183.6 Å³ per cell
# - ΔE_f (raw): -1399 meV/atom


(2)
# PBE Pa3Tl2BiO12, optimized geometry
data_Pa3Tl2BiO12
_cell_length_a 8.0333
_cell_length_b 8.0333
_cell_length_c 8.0333
_cell_angle_alpha 60.27
_cell_angle_beta 60.27
_cell_angle_gamma 60.27
_symmetry_space_group_name_H-M 'P 1'
_symmetry_Int_Tables_number 1
loop_
_symmetry_equiv_pos_as_xyz
'x,y,z'
loop_
_atom_site_label
_atom_site_type_symbol
_atom_site_fract_x
_atom_site_fract_y
_atom_site_fract_z
_atom_site_occupancy
Pa1 Pa 0.0000 0.5000 0.5000 1
Pa2 Pa 0.5000 0.0000 0.5000 1
Pa3 Pa 0.5000 0.5000 0.0000 1
Tl1 Tl 0.0956 0.0956 0.0956 1
Tl2 Tl 0.9044 0.9044 0.9044 1
Bi1 Bi 0.5000 0.5000 0.5000 1
O1 O 0.1820 0.1820 0.5795 1
O2 O 0.1820 0.5795 0.1820 1
O3 O 0.1871 0.5624 0.5624 1
O4 O 0.4205 0.8180 0.8180 1
O5 O 0.4376 0.4376 0.8129 1
O6 O 0.4376 0.8129 0.4376 1
O7 O 0.5624 0.1871 0.5624 1
O8 O 0.5624 0.5624 0.1871 1
O9 O 0.5795 0.1820 0.1820 1
O10 O 0.8129 0.4376 0.4376 1
O11 O 0.8180 0.4205 0.8180 1
O12 O 0.8180 0.8180 0.4205 1
# - DFT total energy: -7.61 eV/atom
# - Space group: R-3m, No. 166
# - Calculated volume: 368.8 Å³ per cell
# - ΔE_f (raw): -2239 meV/atom


(3)
# PBE UPaBiO6, optimized geometry
data_UPaBiO6
_cell_length_a 5.9786
_cell_length_b 5.9786
_cell_length_c 9.4576
_cell_angle_alpha 90.00
_cell_angle_beta 90.00
_cell_angle_gamma 120.00
_symmetry_space_group_name_H-M 'P 1'
_symmetry_Int_Tables_number 1
loop_
_symmetry_equiv_pos_as_xyz
'x,y,z'
loop_
_atom_site_label
_atom_site_type_symbol
_atom_site_fract_x
_atom_site_fract_y
_atom_site_fract_z
_atom_site_occupancy
U1 U 0.3333 0.6667 0.2500 1
U2 U 0.6667 0.3333 0.7500 1
Pa1 Pa 0.3333 0.6667 0.7500 1
Pa2 Pa 0.6667 0.3333 0.2500 1
Bi1 Bi 0.0000 0.0000 0.0000 1
Bi2 Bi 0.0000 0.0000 0.5000 1
O1 O 0.0020 0.3502 0.6365 1
O2 O 0.0020 0.6517 0.8635 1
O3 O 0.3483 0.3502 0.8635 1
O4 O 0.3483 0.9980 0.6365 1
O5 O 0.3502 0.0020 0.1365 1
O6 O 0.3502 0.3483 0.3635 1
O7 O 0.6498 0.6517 0.6365 1
O8 O 0.6498 0.9980 0.8635 1
O9 O 0.6517 0.0020 0.3635 1
O10 O 0.6517 0.6498 0.1365 1
O11 O 0.9980 0.3483 0.1365 1
O12 O 0.9980 0.6498 0.3635 1
# - DFT total energy: -8.74 eV/atom
# - Space group: P-31c, No. 163
# - Calculated volume: 292.8 Å³ per cell
# - ΔE_f (raw): -2693 meV/atom